Entry from Alexandria via LeMat-Bulk: an optimized crystal structure of Mn3N2 (PBEsol).

```
5
Lattice="-1.399 1.399 5.927 1.399 -1.399 5.927 1.399 1.399 -5.927" Properties=species:S:1:pos:R:3 pbc="T T T"
Mn 0.000 0.000 0.000
Mn 0.000 0.000 3.807
Mn 0.000 0.000 8.047
N 0.000 0.000 1.858
N 0.000 0.000 9.996
```

Computed properties:
DOS(E_F)   3.80 states/eV per cell
Energy relative to the lowest polymorph listed for this composition   0.000 eV per atom
E_form (uncorrected)   -0.273 eV per atom
Magnetization   6.53 Bohr magnetons per cell